## Zr4FeGeN2 (PBE)

Data for a relaxed Zr4FeGeN2 crystal.

Structure (CIF):
```
data_Zr4FeGeN2
_space_group_name_H-M_alt 'P -6 m 2'
_space_group_IT_number 187
_space_group_name_Hall 'P -6 2'
_cell_length_a 3.2210
_cell_length_b 3.2210
_cell_length_c 13.5803
_cell_angle_alpha 90.00
_cell_angle_beta 90.00
_cell_angle_gamma 120.00
loop_
_atom_site_label
_atom_site_fract_x
_atom_site_fract_y
_atom_site_fract_z
Zr1 0.0000 0.0000 0.1422
Zr2 0.6667 0.3333 0.3393
Fe1 0.6667 0.3333 0.0000
Ge1 0.0000 0.0000 0.5000
N1 0.3333 0.6667 0.2420
```

Results
VASP energy: -71.2 eV for the cell shown


## NaFeGe (PBE)

Data for a relaxed NaFeGe crystal.

Structure (CIF):
```
data_NaFeGe
_space_group_name_H-M_alt 'F -4 3 m'
_space_group_IT_number 216
_space_group_name_Hall 'F -4 2 3'
_cell_length_a 6.1714
_cell_length_b 6.1714
_cell_length_c 6.1714
_cell_angle_alpha 90.00
_cell_angle_beta 90.00
_cell_angle_gamma 90.00
loop_
_atom_site_label
_atom_site_fract_x
_atom_site_fract_y
_atom_site_fract_z
Na1 0.0000 0.0000 0.0000
Fe1 0.2500 0.2500 0.7500
Ge1 0.0000 0.0000 0.5000
```

Results
VASP energy: -50.2 eV for the cell shown


## NaFe3Ge5 (PBE)

Data for a relaxed NaFe3Ge5 crystal.

Structure (CIF):
```
data_NaFe3Ge5
_space_group_name_H-M_alt 'P 6/m m m'
_space_group_IT_number 191
_space_group_name_Hall '-P 6 2'
_cell_length_a 4.8762
_cell_length_b 4.8762
_cell_length_c 7.6995
_cell_angle_alpha 90.00
_cell_angle_beta 90.00
_cell_angle_gamma 120.00
loop_
_atom_site_label
_atom_site_fract_x
_atom_site_fract_y
_atom_site_fract_z
Na1 0.0000 0.0000 0.0000
Fe1 0.0000 0.5000 0.5000
Ge1 0.0000 0.0000 0.5000
Ge2 0.3333 0.6667 0.2235
```

Results
VASP energy: -49.7 eV for the cell shown